No. 1
Entry from Alexandria: a relaxed HfNb2Co crystal (PBE).

Cell lengths 4.5606, 4.5606, 4.5606 Å; angles 60.00, 60.00, 60.00 degrees
Last column: nearest neighbours and their distance in Å.
Element x y z (fractional)
Hf1 0.0000 0.0000 0.0000  8 Nb 2.79
Nb1 0.2500 0.2500 0.2500  4 Hf 2.79, 4 Co 2.79
Nb2 0.7500 0.7500 0.7500  4 Hf 2.79, 4 Co 2.79
Co1 0.5000 0.5000 0.5000  8 Nb 2.79

Values from the calculation:
* DOS(E_F): 3.34 states/eV/f.u.
* symmetry: Fm-3m, No. 225
* magnetization: 0.00 μB per cell
* electronic total energy: -9.15 eV per atom
* formation energy from the elements: 14.23 kJ/mol of atoms

***

No. 2
Entry from Alexandria: a relaxed Hf2NbCo2 crystal (PBE).

Cell lengths 5.2386, 5.2386, 3.8495 Å; angles 111.42, 111.42, 61.05 degrees
Last column: nearest neighbours and their distance in Å.
Element x y z (fractional)
Hf1 0.2013 0.2013 0.2010  6 Co 2.80-2.84, 4 Nb 3.10-3.13
Hf2 0.7987 0.7987 0.7990  6 Co 2.80-2.84, 4 Nb 3.10-3.13
Nb1 0.5000 0.5000 0.0000  4 Co 2.41
Co1 0.2263 0.7737 0.5000  1 Co 2.41, 2 Nb 2.41
Co2 0.7737 0.2263 0.5000  1 Co 2.41, 2 Nb 2.41

Values from the calculation:
* DOS(E_F): 3.73 states/eV/f.u.
* symmetry: C2/m, No. 12
* magnetization: 0.00 μB per cell
* electronic total energy: -9.11 eV per atom
* formation energy from the elements: -26.68 kJ/mol of atoms

***

No. 3
Entry from Alexandria: a relaxed HfNbCo3 crystal (PBE).

Cell lengths 4.4039, 4.4039, 4.4039 Å; angles 90.00, 90.00, 90.00 degrees
Last column: nearest neighbours and their distance in Å.
Element x y z (fractional)
Hf1 0.0000 0.0000 0.0000  12 Co 3.11
Nb1 0.5000 0.5000 0.5000  6 Co 2.20
Co1 0.0000 0.5000 0.5000  2 Nb 2.20
Co2 0.5000 0.0000 0.5000  2 Nb 2.20
Co3 0.5000 0.5000 0.0000  2 Nb 2.20

Values from the calculation:
* DOS(E_F): 5.64 states/eV/f.u.
* symmetry: Pm-3m, No. 221
* magnetization: 0.00 μB per cell
* electronic total energy: -7.37 eV per atom
* formation energy from the elements: 86.57 kJ/mol of atoms

***

The highest electronic total energy belongs to which entry? HfNbCo3